Entry from the Alexandria database: a relaxed Ho2Mg3Sn3 crystal (PBE).

The calculation puts the total energy at -29.4 eV per cell.

The space group is Pmmm (No. 47) and the conventional cell measures 4.605, 4.712 and 8.917 Å, with angles of 90.00, 90.00 and 90.00 degrees. The distinct sites, in fractional coordinates, are Ho at (0.000, 0.000, 0.243), Mg at (0.000, 0.500, 0.500), Mg at (0.500, 0.500, 0.255), Sn at (0.000, 0.500, 0.000), Sn at (0.500, 0.000, 0.000) and Sn at (0.500, 0.000, 0.500).